AsPt2Rh: relaxed, GGA-PBE.

Properties
formation energy = 0.41 eV/atom
D(E_F) = 1.65 states/eV/f.u.

a = 5.277 Å, b = 5.277 Å, c = 12.639 Å
α = 90.00°, β = 90.00°, γ = 90.00°
Space group I-42d (No. 122)
Asymmetric unit:
As (0.000, 0.000, 0.000) (multiplicity 4)
Pt (0.232, 0.250, 0.125) (multiplicity 8)
Rh (0.000, 0.000, 0.500) (multiplicity 4)


V6Ga5W: relaxed, GGA-PBE.

Properties
formation energy = -0.15 eV/atom
D(E_F) = 6.90 states/eV/f.u.

a = 3.487 Å, b = 8.070 Å, c = 12.085 Å
α = 90.00°, β = 90.00°, γ = 90.00°
Space group Immm (No. 71)
Asymmetric unit:
V (0.000, 0.247, 0.169) (multiplicity 8)
V (0.000, 0.248, 0.500) (multiplicity 4)
Ga (0.000, 0.000, 0.000) (multiplicity 2)
Ga (0.000, 0.000, 0.333) (multiplicity 4)
Ga (0.000, 0.500, 0.335) (multiplicity 4)
W (0.000, 0.500, 0.000) (multiplicity 2)


Sm2LuZr: relaxed, GGA-PBE.

Properties
formation energy = 0.11 eV/atom
D(E_F) = 4.72 states/eV/f.u.

a = 4.894 Å, b = 4.894 Å, c = 4.877 Å
α = 90.00°, β = 90.00°, γ = 90.00°
Space group P4/mmm (No. 123)
Asymmetric unit:
Sm (0.000, 0.500, 0.000) (multiplicity 2)
Lu (0.000, 0.000, 0.500) (multiplicity 1)
Zr (0.500, 0.500, 0.500) (multiplicity 1)